VASP calculation (PBE) on a relaxed K4TlPt crystal.

```
K4TlPt
1.0
-4.785 1.334 4.630
-0.442 6.199 2.737
-5.221 4.045 -1.580
K Tl Pt
4 1 1
Direct
0.377 0.869 0.377 K
0.377 0.377 0.869 K
0.377 0.377 0.377 K
0.869 0.377 0.377 K
0.000 0.000 0.000 Tl
0.750 0.750 0.750 Pt
```

Output
SG ... F-43m (216)
Energy of formation ... 45 kJ/mol of atoms
Fermi-level density of states ... 0.510 states/eV per atom


VASP calculation (PBE) on a relaxed As5P4 crystal.

```
As5P4
1.0
7.409 0.000 0.000
-3.705 6.417 0.000
0.000 0.000 6.861
P As
8 10
Direct
0.589 0.000 0.750 P
0.000 0.589 0.750 P
0.000 0.000 0.000 P
0.411 0.411 0.750 P
0.589 0.589 0.250 P
0.411 0.000 0.250 P
0.000 0.411 0.250 P
0.000 0.000 0.500 P
0.333 0.667 0.500 As
0.333 0.667 0.000 As
0.667 0.333 0.500 As
0.749 0.000 0.250 As
0.000 0.749 0.250 As
0.667 0.333 0.000 As
0.000 0.251 0.750 As
0.749 0.749 0.750 As
0.251 0.000 0.750 As
0.251 0.251 0.250 As
```

Output
SG ... P6_3/mcm (193)
ΔE to the lowest computed polymorph ... 0.000 kcal/mol of atoms
Energy of formation ... 43 kJ/mol of atoms
Fermi-level density of states ... 0.431 states/eV per atom


VASP calculation (PBE) on a relaxed HoNiHgAu crystal.

```
HoNiHgAu
1.0
-0.223 1.136 -4.639
-4.143 -0.377 -2.357
-2.328 3.939 -1.387
Au Ho Ni Hg
1 1 1 1
Direct
0.750 0.750 0.750 Au
0.000 0.000 0.000 Ho
0.250 0.250 0.250 Ni
0.500 0.500 0.500 Hg
```

Output
SG ... F-43m (216)
Energy of formation ... -34 kJ/mol of atoms
Fermi-level density of states ... 0.595 states/eV per atom


VASP calculation (PBE) on a relaxed AcMg2Pb2 crystal.

```
AcMg2Pb2
1.0
-3.537 0.348 3.080
-1.998 -3.825 -1.863
6.185 -2.102 3.750
Mg Pb Ac
2 2 1
Direct
0.250 0.750 0.500 Mg
0.750 0.250 0.500 Mg
0.385 0.389 0.770 Pb
0.615 0.611 0.230 Pb
0.000 0.000 0.000 Ac
```

Output
SG ... C2/m (12)
ΔE to the lowest computed polymorph ... 0.000 kcal/mol of atoms
Energy of formation ... -31 kJ/mol of atoms
Fermi-level density of states ... 0.446 states/eV per atom